# 1
The following is a DFT calculation (GGA-PBE) of a geometry-optimized RbSr2Cd2 structure.

Values from the calculation:
The value obtained for the total energy is -6.5 eV per formula unit.

Unit cell a=5.7414 b=5.7414 c=13.7536 alpha=90.00 beta=90.00 gamma=90.00
Space group I4/mmm (No. 139)
One atom of each set of equivalent atoms:
1 Rb 0.0000 0.0000 0.0000 x2
2 Sr 0.0000 0.5000 0.2500 x4
3 Cd 0.0000 0.0000 0.3944 x4

=====

# 2
The following is a DFT calculation (GGA-PBE) of a geometry-optimized RbSrCd2 structure.

Values from the calculation:
The value obtained for the total energy is -4.1 eV per formula unit.

Unit cell a=9.3892 b=9.3892 c=7.8794 alpha=90.00 beta=90.00 gamma=90.00
Space group I-42d (No. 122)
One atom of each set of equivalent atoms:
1 Rb 0.0000 0.0000 0.0000 x4
2 Sr 0.0000 0.0000 0.5000 x4
3 Cd 0.2336 0.2500 0.6250 x8

=====

# 3
The following is a DFT calculation (GGA-PBE) of a geometry-optimized RbSrCd2 structure.

Values from the calculation:
The value obtained for the total energy is -4.9 eV per formula unit.

Unit cell a=4.1388 b=4.1388 c=9.0617 alpha=90.00 beta=90.00 gamma=90.00
Space group P4/mmm (No. 123)
One atom of each set of equivalent atoms:
1 Rb 0.0000 0.0000 0.0000 x1
2 Sr 0.0000 0.0000 0.5000 x1
3 Cd 0.5000 0.5000 0.2927 x2

=====

Computed energy of formation from the pure elements (eV/atom) in order:
-0.072 0.103 -0.116